Entry from the Alexandria database: an optimized crystal structure of ScRe4Sb (PBE).

POSCAR file:
```
ScRe4Sb
1.0
-0.324 3.325 4.119
-4.720 1.108 2.148
-1.223 -1.855 4.815
Re Sb Sc
4 1 1
Direct
0.375 0.874 0.375
0.375 0.375 0.375
0.375 0.375 0.874
0.874 0.375 0.375
0.750 0.750 0.750
0.000 0.000 0.000
```

Crystal system = cubic
Raw formation energy = 0.1976 eV per atom